# ZrRhIO2 | Alexandria via LeMat-Bulk | GGA-PBE | optimized geometry
# Spin magnetization   1.29 μB per formula unit
# ΔE_f (raw)   -1.141 eV per atom
# D(E_F)   0.453 states/eV per atom
# Calculated density   5.66 g cm⁻³
# Relative energy among the computed polymorphs   0.000 eV/atom
data_ZrRhIO2
_cell_length_a 4.0444
_cell_length_b 4.0444
_cell_length_c 6.3289
_cell_angle_alpha 90.00
_cell_angle_beta 90.00
_cell_angle_gamma 90.00
_space_group_name_H-M_alt 'P 4/m m m'
_space_group_IT_number 123
_space_group_name_Hall '-P 4 2'
loop_
_atom_site_label
_atom_site_type_symbol
_atom_site_fract_x
_atom_site_fract_y
_atom_site_fract_z
Zr1 Zr 0.0000 0.0000 0.0000
Rh1 Rh 0.5000 0.5000 0.5000
I1 I 0.0000 0.0000 0.5000
O1 O 0.0000 0.5000 0.0000

# NdGeRh3 | Alexandria via LeMat-Bulk | GGA-PBE | optimized geometry
# Spin magnetization   0.00 μB per formula unit
# Formation enthalpy at 0 K   -0.57 eV per atom
# D(E_F)   0.649 states/eV per atom
# Calculated density   9.60 g cm⁻³
data_NdGeRh3
_cell_length_a 5.4971
_cell_length_b 7.6735
_cell_length_c 8.6252
_cell_angle_alpha 90.00
_cell_angle_beta 90.00
_cell_angle_gamma 90.00
_space_group_name_H-M_alt 'I m m a'
_space_group_IT_number 74
_space_group_name_Hall '-I 2b 2'
loop_
_atom_site_label
_atom_site_type_symbol
_atom_site_fract_x
_atom_site_fract_y
_atom_site_fract_z
Nd1 Nd 0.0000 0.2500 0.0076
Ge1 Ge 0.0000 0.0000 0.5000
Rh1 Rh 0.0000 0.2500 0.6808
Rh2 Rh 0.2500 0.0443 0.2500